Compound: CeMg4Rh2
Source: Alexandria via LeMat-Bulk
Functional: PBE
Structure: optimized geometry

Geometry as extended XYZ:
```
14
Lattice="7.841 0.000 0.000 0.000 7.841 0.000 0.000 0.000 4.730" Properties=species:S:1:pos:R:3 pbc="T T T"
Ce 0.000 0.000 0.000
Ce 3.920 3.920 2.365
Mg 0.567 2.593 2.365
Mg 1.327 4.487 0.000
Mg 2.593 0.567 2.365
Mg 3.354 6.514 0.000
Mg 4.487 1.327 0.000
Mg 5.247 7.274 2.365
Mg 6.514 3.354 0.000
Mg 7.274 5.247 2.365
Rh 1.709 1.709 0.000
Rh 2.211 5.629 2.365
Rh 5.629 2.211 2.365
Rh 6.131 6.131 0.000
```

Calculated values
final energy	-4.316	eV/atom
DFT formation energy	-457	meV/atom

=====

Compound: Ce2Mg2Rh3
Source: Alexandria via LeMat-Bulk
Functional: PBE
Structure: optimized geometry

Geometry as extended XYZ:
```
7
Lattice="4.087 0.000 0.000 0.003 5.330 0.000 2.021 1.487 6.780" Properties=species:S:1:pos:R:3 pbc="T T T"
Ce 1.018 0.738 1.481
Ce 5.093 6.079 5.299
Mg 3.043 3.359 4.779
Mg 3.068 3.458 2.001
Rh 1.024 3.596 0.161
Rh 3.054 0.744 3.390
Rh 5.087 3.221 6.620
```

Calculated values
final energy	-5.877	eV/atom
ΔE to the lowest computed polymorph	71.2	meV per atom
DFT formation energy	-576	meV/atom

=====

Compound: CeMgRh
Source: Alexandria via LeMat-Bulk
Functional: PBE
Structure: optimized geometry

Geometry as extended XYZ:
```
9
Lattice="7.369 0.000 0.000 -3.684 6.382 0.000 0.000 0.000 4.089" Properties=species:S:1:pos:R:3 pbc="T T T"
Ce -1.537 2.661 0.000
Ce 3.073 0.000 0.000
Ce 2.148 3.720 0.000
Mg -2.805 4.858 2.044
Mg 0.879 1.523 2.044
Mg 5.610 0.000 2.044
Rh 0.000 0.000 0.000
Rh 0.000 4.254 2.044
Rh 3.684 2.127 2.044
```

Calculated values
final energy	-5.519	eV/atom
DFT formation energy	-559	meV/atom